No. 1
Density functional theory data (GGA-PBE) for La8PPt3Br4 after structural relaxation.

Unit cell a=9.090 b=9.090 c=9.090 alpha=56.31 beta=56.31 gamma=56.31
Fractional positions:
La1 0.234 0.234 0.234
La2 0.237 0.737 0.737
La3 0.263 0.263 0.763
La4 0.263 0.763 0.263
La5 0.737 0.237 0.737
La6 0.737 0.737 0.237
La7 0.763 0.263 0.263
La8 0.766 0.766 0.766
P1 0.500 0.500 0.500
Pt1 0.000 0.000 0.500
Pt2 0.000 0.500 0.000
Pt3 0.500 0.000 0.000
Br1 0.000 0.000 0.000
Br2 0.000 0.500 0.500
Br3 0.500 0.000 0.500
Br4 0.500 0.500 0.000

Results
The formation energy (no corrections) comes out at -1.36 eV per atom. As for the symmetry: R-3m (166).

=====

No. 2
Density functional theory data (GGA-PBE) for NiPd2Br after structural relaxation.

Unit cell a=4.496 b=4.496 c=4.496 alpha=60.00 beta=60.00 gamma=60.00
Fractional positions:
Ni1 0.000 0.000 0.000
Pd1 0.250 0.250 0.250
Pd2 0.750 0.750 0.750
Br1 0.500 0.500 0.500

Results
The formation energy (no corrections) comes out at 0.45 eV per atom. As for the symmetry: Fm-3m (225).

=====

No. 3
Density functional theory data (GGA-PBE) for CeLu6 after structural relaxation.

Unit cell a=7.044 b=7.044 c=7.044 alpha=109.47 beta=109.47 gamma=109.47
Fractional positions:
Ce1 0.000 0.000 0.000
Lu1 0.250 0.500 0.750
Lu2 0.250 0.750 0.500
Lu3 0.500 0.250 0.750
Lu4 0.500 0.750 0.250
Lu5 0.750 0.250 0.500
Lu6 0.750 0.500 0.250

Results
The calculation puts the formation energy at 1.586 eV per atom. As for the symmetry: Im-3m (229).

=====

No. 4
Density functional theory data (GGA-PBE) for MoRhCl after structural relaxation.

Unit cell a=7.281 b=6.964 c=2.940 alpha=84.22 beta=72.09 gamma=23.69
Fractional positions:
Mo1 0.000 0.000 0.000
Rh1 0.344 0.344 0.656
Cl1 0.650 0.650 0.350

Results
The formation energy (no corrections) comes out at 0.29 eV per atom. As for the symmetry: Fmm2 (42).

=====

No. 5
Density functional theory data (GGA-PBE) for Ti2MnPb after structural relaxation.

Unit cell a=5.821 b=5.821 c=5.821 alpha=102.75 beta=102.75 gamma=123.95
Fractional positions:
Ti1 0.059 0.625 0.934
Ti2 0.375 0.309 0.434
Ti3 0.691 0.125 0.066
Ti4 0.875 0.941 0.566
Mn1 0.000 0.000 0.000
Mn2 0.750 0.250 0.500
Pb1 0.250 0.750 0.500
Pb2 0.500 0.500 0.000

Results
The calculation puts the formation energy at 0.363 eV per atom. As for the symmetry: I-42d (122).

=====

No. 6
Density functional theory data (GGA-PBE) for MnNbCoHSe after structural relaxation.

Unit cell a=2.997 b=3.008 c=7.618 alpha=90.00 beta=101.14 gamma=90.00
Fractional positions:
Mn1 0.000 0.000 0.000
Nb1 0.380 0.500 0.757
Co1 0.585 0.500 0.174
H1 0.872 0.000 0.742
Se1 0.202 0.500 0.411

Results
As for the symmetry: Pm (6).

=====

No. 7
Density functional theory data (GGA-PBE) for LiAcBiH after structural relaxation.

Unit cell a=4.663 b=4.663 c=4.688 alpha=90.00 beta=90.00 gamma=120.00
Fractional positions:
Li1 0.000 0.000 0.000
Ac1 0.667 0.333 0.546
Bi1 0.333 0.667 0.059
H1 0.000 0.000 0.580

Results
As for the symmetry: P3m1 (156).

=====

No. 8
Density functional theory data (GGA-PBE) for Ga2TcAu after structural relaxation.

Unit cell a=5.681 b=5.681 c=5.681 alpha=104.83 beta=104.83 gamma=119.22
Fractional positions:
Ga1 0.123 0.125 0.498
Ga2 0.375 0.877 0.002
Ga3 0.627 0.625 0.502
Ga4 0.875 0.373 0.998
Tc1 0.000 0.000 0.000
Tc2 0.750 0.250 0.500
Au1 0.250 0.750 0.500
Au2 0.500 0.500 0.000

Results
The calculation puts the formation energy at 0.224 eV per atom. As for the symmetry: I-42d (122).

=====

No. 9
Density functional theory data (GGA-PBE) for TlSnH after structural relaxation.

Unit cell a=6.449 b=6.449 c=6.669 alpha=120.18 beta=120.18 gamma=32.90
Fractional positions:
Tl1 0.123 0.123 0.464
Tl2 0.877 0.877 0.536
Sn1 0.373 0.373 0.038
Sn2 0.627 0.627 0.962
H1 0.123 0.123 0.098
H2 0.877 0.877 0.902

Results
As for the symmetry: C2/m (12).

=====

DFT total energy, respectively: -91.45 -16.03 -21.96 -19.15 -54.43 -32.97 -16.36 -37.60 -17.94 eV for the cell shown.
Volume, respectively: 485.75 64.26 269.04 50.21 144.43 67.38 88.25 138.05 128.29 Å³ per cell.
Magnetization, respectively: 0.000 1.197 0.042 0.000 0.000 4.160 0.000 0.000 0.000 μB/f.u..